Entry from the Alexandria database: crystalline Na2TmTiSe4 at its relaxed geometry (PBE).

Computed properties:
The value obtained for the uncorrected formation energy is -1.399 eV/atom.

Cell lengths 6.837, 3.930, 7.370 Å; angles 90.00, 107.96, 90.00 degrees
Sites, in units of the cell vectors:
Na1 0.000 0.000 0.000
Na2 0.500 0.500 0.000
Tm1 0.000 0.500 0.500
Ti1 0.500 0.000 0.500
Se1 0.256 0.000 0.724
Se2 0.276 0.500 0.285
Se3 0.724 0.500 0.715
Se4 0.744 0.000 0.276



Entry from the Alexandria database: crystalline KRe2Ru at its relaxed geometry (PBE).

Computed properties:
The energy relative to the elements is 3.552 eV/f.u. For the distance to the lowest polymorph of the same formula, the calculation gives 183 meV/atom.

Cell lengths 2.730, 2.730, 9.826 Å; angles 90.00, 90.00, 90.00 degrees
Sites, in units of the cell vectors:
K1 0.000 0.000 0.000
Re1 0.500 0.500 0.307
Re2 0.500 0.500 0.693
Ru1 0.000 0.000 0.500



Entry from the Alexandria database: crystalline PmNd8Mg2 at its relaxed geometry (PBE).

Computed properties:
The energy relative to the elements is 1.195 eV/f.u. For the distance to the lowest polymorph of the same formula, the calculation gives 101 meV/atom.

Cell lengths 9.163, 9.163, 5.902 Å; angles 103.38, 103.38, 121.11 degrees
Sites, in units of the cell vectors:
Pm1 0.000 0.000 0.000
Nd1 0.097 0.326 0.642
Nd2 0.211 0.789 0.000
Nd3 0.326 0.097 0.642
Nd4 0.412 0.412 0.206
Nd5 0.588 0.588 0.794
Nd6 0.674 0.903 0.358
Nd7 0.789 0.211 0.000
Nd8 0.903 0.674 0.358
Mg1 0.307 0.693 0.500
Mg2 0.693 0.307 0.500



Entry from the Alexandria database: crystalline Ru2PbSe at its relaxed geometry (PBE).

Computed properties:
The value obtained for the uncorrected formation energy is 0.530 eV/atom. For the distance to the lowest polymorph of the same formula, the calculation gives 299 meV/atom.

Cell lengths 6.516, 6.516, 6.516 Å; angles 90.00, 90.00, 90.00 degrees
Sites, in units of the cell vectors:
Ru1 0.250 0.250 0.250
Ru2 0.250 0.250 0.750
Ru3 0.250 0.750 0.250
Ru4 0.250 0.750 0.750
Ru5 0.750 0.250 0.250
Ru6 0.750 0.250 0.750
Ru7 0.750 0.750 0.250
Ru8 0.750 0.750 0.750
Pb1 0.000 0.000 0.000
Pb2 0.000 0.500 0.500
Pb3 0.500 0.000 0.500
Pb4 0.500 0.500 0.000
Se1 0.000 0.000 0.500
Se2 0.000 0.500 0.000
Se3 0.500 0.000 0.000
Se4 0.500 0.500 0.500



Entry from the Alexandria database: crystalline BaRu2Au at its relaxed geometry (PBE).

Computed properties:
The energy relative to the elements is 3.234 eV/f.u. For the distance to the lowest polymorph of the same formula, the calculation gives 679 meV/atom.

Cell lengths 3.100, 5.184, 10.270 Å; angles 90.00, 90.00, 90.00 degrees
Sites, in units of the cell vectors:
Ba1 0.000 0.000 0.000
Ba2 0.500 0.500 0.500
Ru1 0.000 0.500 0.224
Ru2 0.000 0.500 0.776
Ru3 0.500 0.000 0.276
Ru4 0.500 0.000 0.724
Au1 0.000 0.000 0.500
Au2 0.500 0.500 0.000



Entry from the Alexandria database: crystalline Sr2MgOs at its relaxed geometry (PBE).

Computed properties:
The energy relative to the elements is 1.554 eV/f.u.

Cell lengths 3.660, 3.660, 8.765 Å; angles 90.00, 90.00, 90.00 degrees
Sites, in units of the cell vectors:
Sr1 0.000 0.000 0.000
Sr2 0.500 0.500 0.412
Mg1 0.000 0.000 0.663
Os1 0.500 0.500 0.765



Entry from the Alexandria database: crystalline TmSc3Pb at its relaxed geometry (PBE).

Computed properties:
The energy relative to the elements is -0.410 eV/f.u.

Cell lengths 6.575, 9.593, 8.564 Å; angles 90.00, 90.00, 90.00 degrees
Sites, in units of the cell vectors:
Tm1 0.205 0.250 0.140
Tm2 0.295 0.750 0.640
Tm3 0.705 0.250 0.360
Tm4 0.795 0.750 0.860
Sc1 0.102 0.036 0.836
Sc2 0.102 0.464 0.836
Sc3 0.236 0.750 0.038
Sc4 0.264 0.250 0.538
Sc5 0.398 0.536 0.336
Sc6 0.398 0.964 0.336
Sc7 0.602 0.036 0.664
Sc8 0.602 0.464 0.664
Sc9 0.736 0.750 0.462
Sc10 0.764 0.250 0.962
Sc11 0.898 0.536 0.164
Sc12 0.898 0.964 0.164
Pb1 0.000 0.000 0.500
Pb2 0.000 0.500 0.500
Pb3 0.500 0.000 0.000
Pb4 0.500 0.500 0.000



Entry from the Alexandria database: crystalline Rb2HfPtO4 at its relaxed geometry (PBE).

Computed properties:
The value obtained for the uncorrected formation energy is -1.543 eV/atom.

Cell lengths 12.981, 11.509, 7.193 Å; angles 84.57, 61.96, 33.48 degrees
Sites, in units of the cell vectors:
Rb1 0.064 0.064 0.686
Rb2 0.314 0.314 0.936
Rb3 0.686 0.686 0.064
Rb4 0.936 0.936 0.314
Hf1 0.125 0.125 0.125
Hf2 0.875 0.875 0.875
Pt1 0.375 0.375 0.375
Pt2 0.625 0.625 0.625
O1 0.022 0.284 0.434
O2 0.240 0.566 0.716
O3 0.284 0.022 0.760
O4 0.434 0.760 0.022
O5 0.566 0.240 0.978
O6 0.716 0.978 0.240
O7 0.760 0.434 0.284
O8 0.978 0.716 0.566



Number 1: size of the total moment 0.1256 μB/atom, VASP energy -5.017 eV/atom. Number 2: size of the total moment 0.0000 μB/atom, VASP energy -7.929 eV/atom. Number 3: size of the total moment 0.0000 μB/atom, VASP energy -4.081 eV/atom. Number 4: size of the total moment 0.0000 μB/atom, VASP energy -5.906 eV/atom. Number 5: size of the total moment 0.1216 μB/atom, VASP energy -5.129 eV/atom. Number 6: size of the total moment 0.0000 μB/atom, VASP energy -3.659 eV/atom. Number 7: size of the total moment 0.0004 μB/atom, VASP energy -5.517 eV/atom. Number 8: size of the total moment 0.0000 μB/atom, VASP energy -6.263 eV/atom.